No. 1
Ti3AuO | PBE | optimized geometry

Lattice parameters (Å, degrees): 7.3677 7.3677 10.2226 90.00 90.00 120.00
Space group R-3c (No. 167, hexagonal axes)
Symmetry-distinct sites (fractional):
Ti: 0.0000 0.2535 0.2500
Au: 0.0000 0.0000 0.0000
O: 0.0000 0.0000 0.2500

Properties
DOS at the Fermi energy: 0.92 states/eV/atom
E_form (uncorrected): -3.8 eV/f.u.


No. 2
Ti3AuO | PBE | optimized geometry

Lattice parameters (Å, degrees): 7.5484 7.5484 5.4746 90.00 90.00 120.00
Space group R3m (No. 160, hexagonal axes)
Symmetry-distinct sites (fractional):
Ti: 0.1999 0.3998 0.0000
Au: 0.0000 0.0000 0.8878
O: 0.0000 0.0000 0.4632

Properties
DOS at the Fermi energy: 2.26 states/eV/atom
E_form (uncorrected): -2.7 eV/f.u.


No. 3
TiAuO2 | PBE | optimized geometry

Lattice parameters (Å, degrees): 5.809 5.809 8.430 90.00 90.00 90.00
Space group I-42d (No. 122)
Symmetry-distinct sites (fractional):
Ti: 0.000 0.000 0.000
Au: 0.000 0.000 0.500
O: 0.053 0.250 0.125

Properties
DOS at the Fermi energy: 0.04 states/eV/atom
E_form (uncorrected): -6.8 eV/f.u.